{"formula": "FeAsC3", "functional": "GGA-PBE", "state": "optimized geometry", "dft_energy_ev_per_fu": -26.04, "mass_density_g_cm3": 4.88, "relative_energy_kj_per_mol_atoms": 83.3, "formation_energy_mev_per_atom": 2950, "magnetic_moment_mub_per_cell": 0.06, "lattice_angstrom": [[3.8423, 0.0000, 0.0000], [0.0000, 3.8423, 0.0000], [0.0000, 0.0000, 3.8423]], "species": ["Fe", "As", "C", "C", "C"], "frac_coords": [[0.0000, 0.0000, 0.0000], [0.5000, 0.5000, 0.5000], [0.0000, 0.5000, 0.5000], [0.5000, 0.0000, 0.5000], [0.5000, 0.5000, 0.0000]]}

***

{"formula": "YAlPt2F", "functional": "GGA-PBE", "state": "optimized geometry", "dft_energy_ev_per_fu": -20.90, "raw_formation_energy_ev_per_atom": 0.65, "mass_density_g_cm3": 5.23, "magnetic_moment_mub_per_cell": 0.00, "lattice_angstrom": [[5.0761, 0.0000, 0.0000], [0.0000, 5.0761, 0.0000], [0.0000, 0.0000, 6.4652]], "species": ["Y", "Al", "Pt", "Pt", "F"], "frac_coords": [[0.0000, 0.0000, 0.0000], [0.0000, 0.0000, 0.5000], [0.0000, 0.5000, 0.0000], [0.5000, 0.0000, 0.0000], [0.5000, 0.5000, 0.5000]]}

***

{"formula": "Rb2InBr3", "functional": "GGA-PBE", "state": "optimized geometry", "dft_energy_ev_per_fu": -17.99, "raw_formation_energy_ev_per_atom": -1.38, "mass_density_g_cm3": 3.52, "relative_energy_kj_per_mol_atoms": 0.0, "magnetic_moment_mub_per_cell": 0.00, "lattice_angstrom": [[7.7048, -3.4747, 0.0000], [7.7048, 3.4747, 0.0000], [-3.0976, 0.0000, 9.2715]], "species": ["Rb", "Rb", "Rb", "Rb", "In", "In", "Br", "Br", "Br", "Br", "Br", "Br"], "frac_coords": [[0.1657, 0.1677, 0.0834], [0.1677, 0.1657, 0.5834], [0.8323, 0.8343, 0.4166], [0.8343, 0.8323, 0.9166], [0.4958, 0.5042, 0.2500], [0.5042, 0.4958, 0.7500], [0.0470, 0.9530, 0.2500], [0.3377, 0.3399, 0.4194], [0.3399, 0.3377, 0.9194], [0.6601, 0.6623, 0.0806], [0.6623, 0.6601, 0.5806], [0.9530, 0.0470, 0.7500]]}

***

{"formula": "ZrCd2Pt", "functional": "GGA-PBE", "state": "optimized geometry", "dft_energy_ev_per_fu": -18.13, "mass_density_g_cm3": 10.98, "formation_energy_mev_per_atom": -427, "magnetic_moment_mub_per_cell": 0.00, "lattice_angstrom": [[0.0000, 3.3884, 3.4012], [3.3529, 0.0000, 3.4012], [3.3529, 3.3884, 0.0000]], "species": ["Zr", "Cd", "Cd", "Pt"], "frac_coords": [[0.0000, 0.0000, 0.0000], [0.2500, 0.2500, 0.2500], [0.5000, 0.5000, 0.5000], [0.7500, 0.7500, 0.7500]]}

***

{"formula": "MgMnTl2Pb", "functional": "GGA-PBE", "state": "optimized geometry", "dft_energy_ev_per_fu": -15.98, "mass_density_g_cm3": 7.61, "formation_energy_mev_per_atom": 646, "magnetic_moment_mub_per_cell": 3.95, "lattice_angstrom": [[5.4083, 0.0000, 0.0000], [0.0000, 5.4083, 0.0000], [0.0000, 0.0000, 5.1856]], "species": ["Mg", "Mn", "Tl", "Tl", "Pb"], "frac_coords": [[0.0000, 0.0000, 0.0000], [0.0000, 0.0000, 0.5000], [0.0000, 0.5000, 0.0000], [0.5000, 0.0000, 0.0000], [0.5000, 0.5000, 0.5000]]}

***

{"formula": "Cs2InGaHg6", "functional": "GGA-PBE", "state": "optimized geometry", "dft_energy_ev_per_fu": -10.79, "mass_density_g_cm3": 7.55, "formation_energy_mev_per_atom": -151, "magnetic_moment_mub_per_cell": 0.00, "lattice_angstrom": [[7.6316, 0.0000, 0.0000], [3.5443, 7.0246, 0.0000], [3.5605, 2.0175, 6.7840]], "species": ["Cs", "Cs", "In", "Ga", "Hg", "Hg", "Hg", "Hg", "Hg", "Hg"], "frac_coords": [[0.2165, 0.2042, 0.3406], [0.7835, 0.7958, 0.6594], [0.0000, 0.0000, 0.0000], [0.5000, 0.5000, 0.5000], [0.2546, 0.2652, 0.7970], [0.2689, 0.6692, 0.8194], [0.3210, 0.7260, 0.1935], [0.6790, 0.2740, 0.8065], [0.7311, 0.3308, 0.1806], [0.7454, 0.7348, 0.2030]]}

***

{"formula": "LiMnCr2", "functional": "GGA-PBE", "state": "optimized geometry", "dft_energy_ev_per_fu": -29.35, "mass_density_g_cm3": 5.80, "relative_energy_kj_per_mol_atoms": 0.0, "formation_energy_mev_per_atom": 245, "magnetic_moment_mub_per_cell": 0.00, "lattice_angstrom": [[1.4027, -1.9771, 0.0000], [1.4027, 1.9771, 0.0000], [0.0000, 0.0000, 8.5669]], "species": ["Li", "Mn", "Cr", "Cr"], "frac_coords": [[0.0000, 0.0000, 0.0000], [0.5000, 0.5000, 0.7394], [0.0000, 0.0000, 0.5105], [0.5000, 0.5000, 0.2753]]}

***

{"formula": "BaNaTl2Pd", "functional": "GGA-PBE", "state": "optimized geometry", "dft_energy_ev_per_fu": -14.05, "mass_density_g_cm3": 6.34, "relative_energy_kj_per_mol_atoms": 13.2, "formation_energy_mev_per_atom": -176, "magnetic_moment_mub_per_cell": 0.00, "lattice_angstrom": [[5.4899, 0.0000, 0.0000], [0.0000, 5.4899, 0.0000], [0.0000, 0.0000, 5.8661]], "species": ["Ba", "Na", "Tl", "Tl", "Pd"], "frac_coords": [[0.0000, 0.0000, 0.0000], [0.5000, 0.5000, 0.0000], [0.0000, 0.5000, 0.5000], [0.5000, 0.0000, 0.5000], [0.0000, 0.0000, 0.5000]]}

***

{"formula": "LaHf2ZrRe", "functional": "GGA-PBE", "state": "optimized geometry", "dft_energy_ev_per_fu": -40.48, "mass_density_g_cm3": 9.73, "formation_energy_mev_per_atom": 1071, "magnetic_moment_mub_per_cell": 0.00, "lattice_angstrom": [[5.1829, 0.0000, 0.0000], [0.0000, 5.1829, 0.0000], [0.0000, 0.0000, 4.9127]], "species": ["La", "Hf", "Hf", "Zr", "Re"], "frac_coords": [[0.0000, 0.0000, 0.0000], [0.0000, 0.5000, 0.5000], [0.5000, 0.0000, 0.5000], [0.5000, 0.5000, 0.5000], [0.5000, 0.5000, 0.0000]]}

***

{"formula": "PmEr2Cd", "functional": "GGA-PBE", "state": "optimized geometry", "dft_energy_ev_per_fu": -15.15, "mass_density_g_cm3": 8.59, "relative_energy_kj_per_mol_atoms": 5.9, "formation_energy_mev_per_atom": -89, "magnetic_moment_mub_per_cell": 0.26, "lattice_angstrom": [[4.8567, 0.0000, 0.0000], [0.0000, 4.8567, 0.0000], [0.0000, 0.0000, 4.8531]], "species": ["Pm", "Er", "Er", "Cd"], "frac_coords": [[0.0000, 0.0000, 0.0000], [0.0000, 0.5000, 0.5000], [0.5000, 0.0000, 0.5000], [0.5000, 0.5000, 0.0000]]}

***

{"formula": "Rb2BI7", "functional": "GGA-PBE", "state": "optimized geometry", "dft_energy_ev_per_fu": -22.38, "raw_formation_energy_ev_per_atom": -0.29, "mass_density_g_cm3": 4.38, "magnetic_moment_mub_per_cell": 0.00, "lattice_angstrom": [[-4.1465, 4.1465, 5.8982], [4.1465, -4.1465, 5.8982], [4.1465, 4.1465, -5.8982]], "species": ["Rb", "Rb", "B", "I", "I", "I", "I", "I", "I", "I"], "frac_coords": [[0.2500, 0.7500, 0.5000], [0.7500, 0.2500, 0.5000], [0.0000, 0.0000, 0.0000], [0.2197, 0.2197, 0.0000], [0.2223, 0.2223, 0.4446], [0.2223, 0.7777, 0.0000], [0.5000, 0.5000, 0.0000], [0.7777, 0.2223, 0.0000], [0.7777, 0.7777, 0.5554], [0.7803, 0.7803, 0.0000]]}

***

{"formula": "Th2MnAs3Rh4", "functional": "GGA-PBE", "state": "optimized geometry", "dft_energy_ev_per_fu": -75.87, "mass_density_g_cm3": 10.49, "formation_energy_mev_per_atom": -850, "magnetic_moment_mub_per_cell": 3.29, "lattice_angstrom": [[4.1566, 0.0000, 0.0000], [0.0000, 4.1566, 0.0000], [0.0000, 0.0000, 10.5874]], "species": ["Th", "Th", "Mn", "As", "As", "As", "Rh", "Rh", "Rh", "Rh"], "frac_coords": [[0.0000, 0.5000, 0.2480], [0.5000, 0.0000, 0.7520], [0.0000, 0.0000, 0.5000], [0.0000, 0.5000, 0.8641], [0.5000, 0.0000, 0.1359], [0.5000, 0.5000, 0.5000], [0.0000, 0.0000, 0.0000], [0.0000, 0.5000, 0.6354], [0.5000, 0.0000, 0.3646], [0.5000, 0.5000, 0.0000]]}

***

Repeat the first record exactly.
{"formula": "FeAsC3", "functional": "GGA-PBE", "state": "optimized geometry", "dft_energy_ev_per_fu": -26.04, "mass_density_g_cm3": 4.88, "relative_energy_kj_per_mol_atoms": 83.3, "formation_energy_mev_per_atom": 2950, "magnetic_moment_mub_per_cell": 0.06, "lattice_angstrom": [[3.8423, 0.0000, 0.0000], [0.0000, 3.8423, 0.0000], [0.0000, 0.0000, 3.8423]], "species": ["Fe", "As", "C", "C", "C"], "frac_coords": [[0.0000, 0.0000, 0.0000], [0.5000, 0.5000, 0.5000], [0.0000, 0.5000, 0.5000], [0.5000, 0.0000, 0.5000], [0.5000, 0.5000, 0.0000]]}